{"formula": "IrRu2Pb", "functional": "PBE", "state": "optimized geometry", "lattice_angstrom": [[2.866, 0.000, 0.000], [0.000, 3.802, 0.000], [0.000, 0.000, 6.121]], "species": ["Ir", "Pb", "Ru", "Ru"], "fractional_positions": [[0.500, 0.500, 0.250], [0.500, 0.500, 0.750], [0.000, 0.000, 0.036], [0.000, 0.000, 0.464]], "magmom_total_mub_per_cell": 0.000, "e_form_kj_per_mol_fu": 182, "mass_density_g_cm3": 14.98}